Ac5TmIn6: relaxed, GGA-PBE.

Cell and atoms, written as POSCAR:
```
Ac5TmIn6
1.0
8.8409 -3.8439 0.0000
8.8409 3.8439 0.0000
-1.0802 0.0000 5.7979
Ac Tm In
5 1 6
direct
0.0000 0.0000 0.0000
0.1614 0.1614 0.6712
0.3210 0.3210 0.2954
0.6790 0.6790 0.7046
0.8386 0.8386 0.3288
0.5000 0.5000 0.0000
0.1193 0.5699 0.8114
0.2893 0.7107 0.5000
0.4301 0.8807 0.1886
0.5699 0.1193 0.8114
0.7107 0.2893 0.5000
0.8807 0.4301 0.1886
```

Calculated values
crystal system	monoclinic
formation energy from the elements	-471	kJ/mol of formula units